Entry from Alexandria via LeMat-Bulk: K2Li3MoO6 after structural relaxation (PBE with a Hubbard U).

The structure in POSCAR format:
```
K2Li3MoO6
1.0
2.911 -5.989 0.000
2.911 5.989 0.000
-1.785 0.000 4.808
K Li Mo O
2 3 1 6
direct
0.179 0.821 0.000
0.821 0.179 0.000
0.000 0.000 0.500
0.400 0.600 0.500
0.600 0.400 0.500
0.500 0.500 0.000
0.189 0.418 0.746
0.284 0.284 0.217
0.418 0.189 0.746
0.582 0.811 0.254
0.716 0.716 0.783
0.811 0.582 0.254
```

Computed properties:
energy	-5.360	eV/atom
crystal system	monoclinic
space-group type	No. 12
M_tot	1.08	μB per cell